(1)
## Te2RhBr (PBE)

Data for a relaxed Te2RhBr crystal.

space group: Imm2 (44)
raw formation energy: -0.106 eV/atom
N(E_F): 0.313 states/eV per atom
ρ: 6.60 g/cm³
magnetization: 0.00 μB per formula unit

Cell lengths 6.952, 6.952, 6.952 Å; angles 149.71, 139.15, 51.69 degrees
Element x y z (fractional)
Te (0.000, 0.000, 0.000)
Te (0.636, 0.136, 0.500)
Rh (0.490, 0.490, 0.000)
Br (0.319, 0.819, 0.500)

---

(2)
## TmInSe (PBE)

Data for a relaxed TmInSe crystal.

space group: R-3m (166)
raw formation energy: -0.922 eV/atom
N(E_F): 0.293 states/eV per atom
ρ: 7.34 g/cm³
magnetization: 0.00 μB per formula unit

Cell lengths 9.130, 9.130, 9.130 Å; angles 29.57, 29.57, 29.57 degrees
Element x y z (fractional)
Tm (0.095, 0.095, 0.095)
Tm (0.905, 0.905, 0.905)
In (0.350, 0.350, 0.350)
In (0.650, 0.650, 0.650)
Se (0.207, 0.207, 0.207)
Se (0.793, 0.793, 0.793)

---

(3)
## Ba3SnI2 (PBE)

Data for a relaxed Ba3SnI2 crystal.

space group: C2/c (15)
raw formation energy: -1.210 eV/atom
N(E_F): 0.247 states/eV per atom
ρ: 4.59 g/cm³
polymorph energy (0 for the lowest one): 0.006 eV/atom
magnetization: 0.00 μB per formula unit

Cell lengths 8.934, 8.934, 10.279 Å; angles 106.71, 106.71, 46.79 degrees
Element x y z (fractional)
Ba (0.000, 0.000, 0.250)
Ba (0.000, 0.000, 0.750)
Ba (0.354, 0.354, 0.427)
Ba (0.354, 0.354, 0.927)
Ba (0.646, 0.646, 0.073)
Ba (0.646, 0.646, 0.573)
Sn (0.499, 0.501, 0.750)
Sn (0.501, 0.499, 0.250)
I (0.173, 0.173, 0.087)
I (0.173, 0.173, 0.587)
I (0.827, 0.827, 0.413)
I (0.827, 0.827, 0.913)

---

(4)
## Tb2TlH (PBE)

Data for a relaxed Tb2TlH crystal.

space group: P4/nmm (129)
N(E_F): 0.455 states/eV per atom
ρ: 9.77 g/cm³
polymorph energy (0 for the lowest one): 0.039 eV/atom
magnetization: 0.00 μB per formula unit

Cell lengths 4.564, 4.564, 8.538 Å; angles 90.00, 90.00, 90.00 degrees
Element x y z (fractional)
Tb (0.250, 0.250, 0.150)
Tb (0.250, 0.750, 0.500)
Tb (0.750, 0.250, 0.500)
Tb (0.750, 0.750, 0.850)
Tl (0.250, 0.250, 0.780)
Tl (0.750, 0.750, 0.220)
H (0.250, 0.250, 0.418)
H (0.750, 0.750, 0.582)

---

(5)
## LiGe2Se3 (PBE)

Data for a relaxed LiGe2Se3 crystal.

space group: Pmc2_1 (26)
raw formation energy: -0.387 eV/atom
N(E_F): 0.294 states/eV per atom
ρ: 4.64 g/cm³
polymorph energy (0 for the lowest one): 0.050 eV/atom
magnetization: 0.00 μB per formula unit

Cell lengths 3.677, 10.572, 7.169 Å; angles 90.00, 90.00, 90.00 degrees
Element x y z (fractional)
Li (0.000, 0.122, 0.000)
Li (0.000, 0.878, 0.500)
Ge (0.000, 0.204, 0.478)
Ge (0.000, 0.796, 0.978)
Ge (0.500, 0.475, 0.009)
Ge (0.500, 0.525, 0.509)
Se (0.000, 0.400, 0.689)
Se (0.000, 0.600, 0.189)
Se (0.500, 0.078, 0.654)
Se (0.500, 0.272, 0.193)
Se (0.500, 0.728, 0.693)
Se (0.500, 0.922, 0.154)

---

(6)
## LiIn2Sb (PBE)

Data for a relaxed LiIn2Sb crystal.

space group: R3m (160)
raw formation energy: -0.056 eV/atom
N(E_F): 0.490 states/eV per atom
ρ: 5.26 g/cm³
magnetization: 0.00 μB per formula unit

Cell lengths 6.742, 6.742, 6.742 Å; angles 39.79, 39.79, 39.79 degrees
Element x y z (fractional)
Li (0.000, 0.000, 0.000)
In (0.255, 0.255, 0.255)
In (0.421, 0.421, 0.421)
Sb (0.838, 0.838, 0.838)

---

(7)
## In2CoSe (PBE)

Data for a relaxed In2CoSe crystal.

space group: I-42d (122)
raw formation energy: 0.312 eV/atom
N(E_F): 0.451 states/eV per atom
ρ: 5.37 g/cm³
magnetization: 1.07 μB per formula unit

Cell lengths 7.101, 7.101, 7.101 Å; angles 125.81, 125.81, 80.20 degrees
Element x y z (fractional)
In (0.096, 0.625, 0.971)
In (0.375, 0.346, 0.471)
In (0.654, 0.125, 0.029)
In (0.875, 0.904, 0.529)
Co (0.000, 0.000, 0.000)
Co (0.750, 0.250, 0.500)
Se (0.250, 0.750, 0.500)
Se (0.500, 0.500, 0.000)

---

(8)
## Pm2Y3Tm6Sc (PBE)

Data for a relaxed Pm2Y3Tm6Sc crystal.

space group: C2/m (12)
final energy: -0.189 Ha/atom
N(E_F): 1.412 states/eV per atom
ρ: 7.27 g/cm³
magnetization: 0.00 μB per formula unit

Cell lengths 6.086, 6.086, 11.669 Å; angles 94.98, 94.98, 119.97 degrees
Element x y z (fractional)
Pm (0.166, 0.834, 0.000)
Pm (0.834, 0.166, 0.000)
Y (0.000, 0.000, 0.500)
Y (0.334, 0.666, 0.500)
Y (0.666, 0.334, 0.500)
Tm (0.087, 0.417, 0.751)
Tm (0.252, 0.252, 0.249)
Tm (0.417, 0.087, 0.751)
Tm (0.583, 0.913, 0.249)
Tm (0.748, 0.748, 0.751)
Tm (0.913, 0.583, 0.249)
Sc (0.500, 0.500, 0.000)

---

(9)
## Mn2CrSi (PBE)

Data for a relaxed Mn2CrSi crystal.

space group: P4mm (99)
raw formation energy: -0.134 eV/atom
N(E_F): 0.845 states/eV per atom
ρ: 6.91 g/cm³
magnetization: 0.19 μB per formula unit

Cell lengths 2.847, 2.847, 5.634 Å; angles 90.00, 90.00, 90.00 degrees
Element x y z (fractional)
Mn (0.000, 0.000, 0.000)
Mn (0.500, 0.500, 0.263)
Cr (0.500, 0.500, 0.760)
Si (0.000, 0.000, 0.500)

---

(10)
## ScSi2PRh (PBE)

Data for a relaxed ScSi2PRh crystal.

space group: P4/mmm (123)
raw formation energy: 0.189 eV/atom
N(E_F): 0.665 states/eV per atom
ρ: 3.78 g/cm³
magnetization: 0.00 μB per formula unit

Cell lengths 4.401, 4.401, 5.326 Å; angles 90.00, 90.00, 90.00 degrees
Element x y z (fractional)
Sc (0.000, 0.000, 0.000)
Si (0.000, 0.500, 0.500)
Si (0.500, 0.000, 0.500)
P (0.500, 0.500, 0.000)
Rh (0.500, 0.500, 0.500)

---

(11)
## Pm2PuSb3Pt4 (PBE)

Data for a relaxed Pm2PuSb3Pt4 crystal.

space group: P-4m2 (115)
raw formation energy: -0.809 eV/atom
N(E_F): 1.230 states/eV per atom
ρ: 11.87 g/cm³
magnetization: 5.32 μB per formula unit

Cell lengths 4.527, 4.527, 11.466 Å; angles 90.00, 90.00, 90.00 degrees
Element x y z (fractional)
Pm (0.000, 0.500, 0.213)
Pm (0.500, 0.000, 0.787)
Pu (0.000, 0.000, 0.500)
Sb (0.000, 0.500, 0.872)
Sb (0.500, 0.000, 0.128)
Sb (0.500, 0.500, 0.500)
Pt (0.000, 0.000, 0.000)
Pt (0.000, 0.500, 0.648)
Pt (0.500, 0.000, 0.352)
Pt (0.500, 0.500, 0.000)

---

(12)
## Tb6AsP3Se2 (PBE)

Data for a relaxed Tb6AsP3Se2 crystal.

space group: C2/m (12)
raw formation energy: -1.735 eV/atom
N(E_F): 0.301 states/eV per atom
ρ: 7.42 g/cm³
magnetization: 0.00 μB per formula unit

Cell lengths 9.123, 9.123, 8.165 Å; angles 103.41, 103.41, 25.72 degrees
Element x y z (fractional)
Tb (0.004, 0.004, 0.248)
Tb (0.332, 0.332, 0.428)
Tb (0.339, 0.339, 0.905)
Tb (0.661, 0.661, 0.095)
Tb (0.668, 0.668, 0.572)
Tb (0.996, 0.996, 0.752)
As (0.500, 0.500, 0.500)
P (0.168, 0.168, 0.333)
P (0.500, 0.500, 0.000)
P (0.832, 0.832, 0.667)
Se (0.168, 0.168, 0.836)
Se (0.832, 0.832, 0.164)

---

(13)
## Ti2Ga2Sb (PBE)

Data for a relaxed Ti2Ga2Sb crystal.

space group: P4/mbm (127)
raw formation energy: -0.147 eV/atom
N(E_F): 1.127 states/eV per atom
ρ: 6.51 g/cm³
polymorph energy (0 for the lowest one): 0.116 eV/atom
magnetization: 1.10 μB per formula unit

Cell lengths 7.035, 7.035, 3.681 Å; angles 90.00, 90.00, 90.00 degrees
Element x y z (fractional)
Ti (0.178, 0.322, 0.000)
Ti (0.322, 0.822, 0.000)
Ti (0.678, 0.178, 0.000)
Ti (0.822, 0.678, 0.000)
Ga (0.123, 0.623, 0.500)
Ga (0.377, 0.123, 0.500)
Ga (0.623, 0.877, 0.500)
Ga (0.877, 0.377, 0.500)
Sb (0.000, 0.000, 0.500)
Sb (0.500, 0.500, 0.500)

---

(14)
## ScNbPd2 (PBE)

Data for a relaxed ScNbPd2 crystal.

space group: I-42d (122)
final energy: -0.244 Ha/atom
N(E_F): 0.156 states/eV per atom
ρ: 7.69 g/cm³
magnetization: 0.00 μB per formula unit

Cell lengths 9.457, 9.457, 9.457 Å; angles 154.95, 154.95, 35.72 degrees
Element x y z (fractional)
Sc (0.000, 0.000, 0.000)
Sc (0.750, 0.250, 0.500)
Nb (0.250, 0.750, 0.500)
Nb (0.500, 0.500, 0.000)
Pd (0.128, 0.625, 0.003)
Pd (0.375, 0.378, 0.503)
Pd (0.622, 0.125, 0.997)
Pd (0.875, 0.872, 0.497)

---

(15)
## AcGa8Cu2 (PBE)

Data for a relaxed AcGa8Cu2 crystal.

space group: P4/mmm (123)
final energy: -0.121 Ha/atom
N(E_F): 0.527 states/eV per atom
ρ: 5.70 g/cm³
magnetization: 0.00 μB per formula unit

Cell lengths 5.609, 5.609, 8.438 Å; angles 90.00, 90.00, 90.00 degrees
Element x y z (fractional)
Ac (0.000, 0.000, 0.000)
Ga (0.252, 0.252, 0.314)
Ga (0.252, 0.252, 0.686)
Ga (0.252, 0.748, 0.314)
Ga (0.252, 0.748, 0.686)
Ga (0.748, 0.252, 0.314)
Ga (0.748, 0.252, 0.686)
Ga (0.748, 0.748, 0.314)
Ga (0.748, 0.748, 0.686)
Cu (0.000, 0.500, 0.500)
Cu (0.500, 0.000, 0.500)

---

(16)
## CdFe2P (PBE)

Data for a relaxed CdFe2P crystal.

space group: P2/m (10)
N(E_F): 0.783 states/eV per atom
ρ: 7.62 g/cm³
polymorph energy (0 for the lowest one): 0.103 eV/atom
magnetization: 2.86 μB per formula unit

Cell lengths 2.803, 3.248, 6.173 Å; angles 90.00, 98.73, 90.00 degrees
Element x y z (fractional)
Cd (0.000, 0.000, 0.000)
Fe (0.379, 0.500, 0.683)
Fe (0.621, 0.500, 0.317)
P (0.000, 0.000, 0.500)